DFT (GGA+U) results for a geometry-optimized CrInOF2 structure.

a b c (Å): 4.2907 4.2907 4.0551
angles (deg): 90.00 90.00 90.00
Last column: magnetic moment on the atom in μB.
Fractional coordinates of all 5 atoms:
Cr: 0.5000 0.5000 0.5000  4.60
In: 0.0000 0.0000 0.0000  0.01
F: 0.0000 0.5000 0.0000  0.02
F: 0.5000 0.0000 0.0000  0.02
O: 0.0000 0.0000 0.5000  -0.02

Computed properties:
Total energy   -5.2700 eV per atom
Space group   P4/mmm, No. 123
Relative energy among the computed polymorphs   0.318 eV per atom